[1]
Nd2ZnHg3 PBE optimized geometry; formation energy = -425.8 meV/atom
1.0
-0.0970 -0.7511 9.7768
-5.5510 -1.5373 7.2000
1.8482 -5.4154 2.0646
Hg Nd Zn
6 4 2
Direct
0.8280 0.8280 0.1720
0.3452 0.8267 0.1733
0.1733 0.6548 0.3452
0.8267 0.3452 0.6548
0.6548 0.1733 0.8267
0.1720 0.1720 0.8280
0.7547 0.2453 0.2453
0.2500 0.2500 0.2500
0.7500 0.7500 0.7500
0.2453 0.7547 0.7547
0.6669 0.6669 0.3331
0.3331 0.3331 0.6669


[2]
ErAlPdAu PBE optimized geometry; energy above the most stable polymorph in this dataset = 0.0000 eV per atom
1.0
-1.7846 0.3812 -4.0293
-2.1769 -2.1598 3.1877
-4.0078 7.7407 2.5075
Al Au Er Pd
2 2 2 2
Direct
0.0000 0.0000 0.0067
0.0000 0.0000 0.5067
0.3333 0.6667 0.4146
0.6667 0.3333 0.9146
0.6667 0.3333 0.2472
0.3333 0.6667 0.7472
0.3333 0.6667 0.0815
0.6667 0.3333 0.5815